CsMgUF6: optimized geometry, PBE.

Lattice parameters (Å, degrees): 7.4556 7.8490 11.1165 90.00 90.00 90.00
Closest atoms and distances in Å follow each position.
Space group Imma (No. 74)
Asymmetric unit:
Cs1 0.0000 0.2500 0.1544 (multiplicity 4)  5 F 3.04-3.14
Mg1 0.0000 0.0000 0.5000 (multiplicity 4)  6 F 1.97-2.04
U1 0.2500 0.2500 0.7500 (multiplicity 4)  6 F 2.29-2.36
F1 0.0000 0.2500 0.4869 (multiplicity 4)  2 Mg 1.97
F2 0.0000 0.2500 0.8807 (multiplicity 4)  2 U 2.36
F3 0.1897 0.0192 0.6312 (multiplicity 16)  1 Mg 2.04

Output
V ... 650.52 Å³/cell
ΔE_f (raw) ... -3285 meV/atom
ρ ... 5.20 g/cm³
Total magnetic moment ... 3.0 μB per formula unit

CsTmS4: optimized geometry, PBE.

Lattice parameters (Å, degrees): 5.9332 5.9332 8.6547 90.00 90.00 90.00
Closest atoms and distances in Å follow each position.
Space group P4/nbm (No. 125, origin choice 2)
Asymmetric unit:
Cs1 0.2500 0.2500 0.0000 (multiplicity 2)  8 S 3.60
Tm1 0.2500 0.2500 0.5000 (multiplicity 2)  8 S 2.83
S1 0.1239 0.6239 0.3161 (multiplicity 8)  1 S 2.12

Output
V ... 304.67 Å³/cell
ΔE_f (raw) ... -1200 meV/atom
ρ ... 4.69 g/cm³
Total magnetic moment ... 0.0 μB per formula unit

- Which value of total magnetic moment does entry 1 give?
  3.0 μB per formula unit

- Which value of V does entry 2 give?
  304.67 Å³/cell